# CeHoGaPt PBE relaxed
data_CeHoGaPt
_cell_length_a 3.846
_cell_length_b 4.481
_cell_length_c 5.771
_cell_angle_alpha 90.00
_cell_angle_beta 109.46
_cell_angle_gamma 90.00
_symmetry_space_group_name_H-M 'P 1'
_symmetry_Int_Tables_number 1
loop_
_symmetry_equiv_pos_as_xyz
'x,y,z'
loop_
_atom_site_label
_atom_site_type_symbol
_atom_site_fract_x
_atom_site_fract_y
_atom_site_fract_z
Ce1 Ce 0.857 0.500 0.713
Ho1 Ho 0.140 0.000 0.279
Ga1 Ga 0.426 0.000 0.851
Pt1 Pt 0.578 0.500 0.156
# Formation energy = -0.843 eV per atom
# Space-group type = No. 38
# Total moment = 0.72 μB per formula unit
# Volume = 23.4 A^3/atom
# Energy relative to the lowest polymorph listed for this composition = 0.0 meV/atom